Entry 1:
VASP calculation (SCAN) on a crystal of CsC2SCl relaxed with PBEsol.

```
5
Lattice="5.130 0.000 0.000 0.000 5.130 0.000 0.000 0.000 6.361" Properties=species:S:1:pos:R:3 pbc="T T T"
Cs 0.000 0.000 0.000
C 0.000 2.565 0.000
C 2.565 0.000 0.000
S 2.565 2.565 3.180
Cl 0.000 0.000 3.180
```

E_tot (eV/atom): -12.18
Energy relative to the elements, uncorrected (eV/atom): 2.94
Volume (Å³/cell): 167.4



Entry 2:
VASP calculation (SCAN) on a crystal of MoAs2W relaxed with PBEsol.

```
4
Lattice="1.505 0.869 7.864 -1.505 0.869 7.864 0.000 -1.738 7.864" Properties=species:S:1:pos:R:3 pbc="T T T"
Mo 0.000 0.000 0.000
As 0.000 0.000 5.909
As 0.000 0.000 17.681
W 0.000 0.000 11.795
```

Energy relative to the lowest polymorph listed for this composition (eV/atom): 0.162
Energy of formation from the pure elements (kJ/mol of formula units): 122
E_tot (eV/atom): -35.92
Volume (Å³/cell): 61.7



Entry 3:
VASP calculation (SCAN) on a crystal of MgPb3 relaxed with PBEsol.

```
8
Lattice="5.517 0.000 0.000 0.000 6.692 0.000 0.000 0.000 6.050" Properties=species:S:1:pos:R:3 pbc="T T T"
Mg 1.379 1.673 1.061
Mg 4.138 5.019 4.989
Pb 1.379 0.008 4.045
Pb 1.379 3.337 4.045
Pb 1.379 5.019 0.906
Pb 4.138 1.673 5.145
Pb 4.138 3.354 2.005
Pb 4.138 6.683 2.005
```

Energy of formation from the pure elements (kJ/mol of formula units): -7
E_tot (eV/atom): -58.10
Volume (Å³/cell): 223.4



Entry 4:
VASP calculation (SCAN) on a crystal of CaTaAs relaxed with PBEsol.

```
3
Lattice="3.506 0.000 0.000 -1.753 3.036 0.000 0.000 0.000 6.232" Properties=species:S:1:pos:R:3 pbc="T T T"
Ca 0.000 0.000 0.000
Ta 0.000 2.024 3.573
As 1.753 1.012 2.044
```

Energy of formation from the pure elements (kJ/mol of formula units): -27
E_tot (eV/atom): -32.24
Volume (Å³/cell): 66.3



Q: Which value of E_tot does entry 4 give?
A: -32.24 eV/atom



Q: Among the records above, which one has the lowest volume?
A: MoAs2W



Q: What is the formula in the third record?
A: MgPb3



Q: The highest E_tot belongs to which entry?
A: CsC2SCl